First-principles (PBE) data for crystalline Np2MoC at its relaxed geometry, as listed in Alexandria.

a b c (Å): 4.301 4.301 4.301
angles (deg): 70.10 70.10 70.10
Fractional coordinates of all 4 atoms:
Np 0.230 0.230 0.230
Np 0.770 0.770 0.770
Mo 0.500 0.500 0.500
C 0.000 0.000 0.000

Properties
space group: R-3m (166)
mass density: 14199 kg/m3
crystal system: trigonal
D(E_F): 8.42 states/eV/cell
ΔE_f: 0.941 eV per atom